Entry A
A plane-wave DFT calculation with PBE was carried out for a relaxed structure of Ru2Pt.

Values from the calculation:
- N(E_F): 1.3679 states/eV/atom
- Magnetic moment: 0.00 μB per formula unit
- SG: Pa-3

```
data_Ru2Pt
_chemical_formula_sum 'Ru8 Pt4'
_symmetry_space_group_name_H-M 'P 1'
_symmetry_Int_Tables_number 1
_cell_length_a 6.020
_cell_length_b 6.020
_cell_length_c 6.020
_cell_angle_alpha 90.00
_cell_angle_beta 90.00
_cell_angle_gamma 90.00
loop_
_symmetry_equiv_pos_as_xyz
'x,y,z'
loop_
_atom_site_label
_atom_site_type_symbol
_atom_site_fract_x
_atom_site_fract_y
_atom_site_fract_z
Ru1 Ru 0.108 0.108 0.108
Ru2 Ru 0.108 0.392 0.608
Ru3 Ru 0.392 0.608 0.108
Ru4 Ru 0.392 0.892 0.608
Ru5 Ru 0.608 0.108 0.392
Ru6 Ru 0.608 0.392 0.892
Ru7 Ru 0.892 0.608 0.392
Ru8 Ru 0.892 0.892 0.892
Pt1 Pt 0.000 0.000 0.500
Pt2 Pt 0.000 0.500 0.000
Pt3 Pt 0.500 0.000 0.000
Pt4 Pt 0.500 0.500 0.500
```


Entry B
A plane-wave DFT calculation with PBE was carried out for a relaxed structure of Ru2Pt.

Values from the calculation:
- N(E_F): 0.9054 states/eV/atom
- Magnetic moment: 0.00 μB per formula unit
- SG: P-3m1

```
data_Ru2Pt
_chemical_formula_sum 'Ru2 Pt1'
_symmetry_space_group_name_H-M 'P 1'
_symmetry_Int_Tables_number 1
_cell_length_a 2.734
_cell_length_b 2.734
_cell_length_c 6.731
_cell_angle_alpha 90.00
_cell_angle_beta 90.00
_cell_angle_gamma 120.00
loop_
_symmetry_equiv_pos_as_xyz
'x,y,z'
loop_
_atom_site_label
_atom_site_type_symbol
_atom_site_fract_x
_atom_site_fract_y
_atom_site_fract_z
Ru1 Ru 0.333 0.667 0.153
Ru2 Ru 0.667 0.333 0.847
Pt1 Pt 0.000 0.000 0.500
```


Entry C
A plane-wave DFT calculation with PBE was carried out for a relaxed structure of Ru2Pt.

Values from the calculation:
- N(E_F): 1.3715 states/eV/atom
- Magnetic moment: 0.00 μB per formula unit
- SG: I4_1/amd

```
data_Ru2Pt
_chemical_formula_sum 'Ru4 Pt2'
_symmetry_space_group_name_H-M 'P 1'
_symmetry_Int_Tables_number 1
_cell_length_a 8.819
_cell_length_b 8.819
_cell_length_c 8.819
_cell_angle_alpha 157.85
_cell_angle_beta 157.85
_cell_angle_gamma 31.52
loop_
_symmetry_equiv_pos_as_xyz
'x,y,z'
loop_
_atom_site_label
_atom_site_type_symbol
_atom_site_fract_x
_atom_site_fract_y
_atom_site_fract_z
Ru1 Ru 0.301 0.551 0.750
Ru2 Ru 0.449 0.699 0.750
Ru3 Ru 0.551 0.301 0.250
Ru4 Ru 0.699 0.449 0.250
Pt1 Pt 0.125 0.875 0.250
Pt2 Pt 0.875 0.125 0.750
```


entry B wins, 57.1 kJ/mol of atoms ahead of the next structure.


Entry A
A plane-wave DFT calculation with PBE was carried out for a relaxed structure of Ru2Pt.

Values from the calculation:
- N(E_F): 1.0949 states/eV/atom
- Magnetic moment: 0.00 μB per formula unit
- SG: Pnma

```
data_Ru2Pt
_chemical_formula_sum 'Ru8 Pt4'
_symmetry_space_group_name_H-M 'P 1'
_symmetry_Int_Tables_number 1
_cell_length_a 5.447
_cell_length_b 3.858
_cell_length_c 8.258
_cell_angle_alpha 90.00
_cell_angle_beta 90.00
_cell_angle_gamma 90.00
loop_
_symmetry_equiv_pos_as_xyz
'x,y,z'
loop_
_atom_site_label
_atom_site_type_symbol
_atom_site_fract_x
_atom_site_fract_y
_atom_site_fract_z
Ru1 Ru 0.119 0.250 0.080
Ru2 Ru 0.124 0.250 0.759
Ru3 Ru 0.376 0.750 0.259
Ru4 Ru 0.381 0.750 0.580
Ru5 Ru 0.619 0.250 0.420
Ru6 Ru 0.624 0.250 0.741
Ru7 Ru 0.876 0.750 0.241
Ru8 Ru 0.881 0.750 0.920
Pt1 Pt 0.125 0.250 0.411
Pt2 Pt 0.375 0.750 0.911
Pt3 Pt 0.625 0.250 0.089
Pt4 Pt 0.875 0.750 0.589
```


Entry B
A plane-wave DFT calculation with PBE was carried out for a relaxed structure of Ru2Pt.

Values from the calculation:
- N(E_F): 0.7785 states/eV/atom
- Magnetic moment: 0.00 μB per formula unit
- SG: Immm

```
data_Ru2Pt
_chemical_formula_sum 'Ru2 Pt1'
_symmetry_space_group_name_H-M 'P 1'
_symmetry_Int_Tables_number 1
_cell_length_a 4.769
_cell_length_b 4.769
_cell_length_c 4.769
_cell_angle_alpha 146.69
_cell_angle_beta 132.65
_cell_angle_gamma 59.12
loop_
_symmetry_equiv_pos_as_xyz
'x,y,z'
loop_
_atom_site_label
_atom_site_type_symbol
_atom_site_fract_x
_atom_site_fract_y
_atom_site_fract_z
Ru1 Ru 0.176 0.176 0.000
Ru2 Ru 0.824 0.824 0.000
Pt1 Pt 0.500 0.500 0.000
```


entry B wins, 1.1 kJ/mol of atoms ahead of the next structure.


Entry A
A plane-wave DFT calculation with PBE was carried out for a relaxed structure of Ru2Pt.

Values from the calculation:
- N(E_F): 1.1758 states/eV/atom
- Magnetic moment: 0.00 μB per formula unit
- SG: P-62m

```
data_Ru2Pt
_chemical_formula_sum 'Ru6 Pt3'
_symmetry_space_group_name_H-M 'P 1'
_symmetry_Int_Tables_number 1
_cell_length_a 7.491
_cell_length_b 7.491
_cell_length_c 2.705
_cell_angle_alpha 90.00
_cell_angle_beta 90.00
_cell_angle_gamma 120.00
loop_
_symmetry_equiv_pos_as_xyz
'x,y,z'
loop_
_atom_site_label
_atom_site_type_symbol
_atom_site_fract_x
_atom_site_fract_y
_atom_site_fract_z
Ru1 Ru 0.000 0.305 0.000
Ru2 Ru 0.000 0.642 0.500
Ru3 Ru 0.305 0.000 0.000
Ru4 Ru 0.358 0.358 0.500
Ru5 Ru 0.642 0.000 0.500
Ru6 Ru 0.695 0.695 0.000
Pt1 Pt 0.000 0.000 0.500
Pt2 Pt 0.333 0.667 0.000
Pt3 Pt 0.667 0.333 0.000
```


Entry B
A plane-wave DFT calculation with PBE was carried out for a relaxed structure of Ru2Pt.

Values from the calculation:
- N(E_F): 2.2551 states/eV/atom
- Magnetic moment: 0.00 μB per formula unit
- SG: Fm-3m

```
data_Ru2Pt
_chemical_formula_sum 'Ru2 Pt1'
_symmetry_space_group_name_H-M 'P 1'
_symmetry_Int_Tables_number 1
_cell_length_a 4.196
_cell_length_b 4.196
_cell_length_c 4.196
_cell_angle_alpha 60.00
_cell_angle_beta 60.00
_cell_angle_gamma 60.00
loop_
_symmetry_equiv_pos_as_xyz
'x,y,z'
loop_
_atom_site_label
_atom_site_type_symbol
_atom_site_fract_x
_atom_site_fract_y
_atom_site_fract_z
Ru1 Ru 0.250 0.250 0.250
Ru2 Ru 0.750 0.750 0.750
Pt1 Pt 0.000 0.000 0.000
```


entry A wins, 66.8 kJ/mol of atoms ahead of the next structure.


Entry A
A plane-wave DFT calculation with PBE was carried out for a relaxed structure of Ru2Pt.

Values from the calculation:
- N(E_F): 1.0448 states/eV/atom
- Magnetic moment: 0.00 μB per formula unit
- SG: Cmcm

```
data_Ru2Pt
_chemical_formula_sum 'Ru4 Pt2'
_symmetry_space_group_name_H-M 'P 1'
_symmetry_Int_Tables_number 1
_cell_length_a 6.123
_cell_length_b 6.123
_cell_length_c 3.865
_cell_angle_alpha 90.00
_cell_angle_beta 90.00
_cell_angle_gamma 143.24
loop_
_symmetry_equiv_pos_as_xyz
'x,y,z'
loop_
_atom_site_label
_atom_site_type_symbol
_atom_site_fract_x
_atom_site_fract_y
_atom_site_fract_z
Ru1 Ru 0.090 0.910 0.750
Ru2 Ru 0.253 0.747 0.250
Ru3 Ru 0.747 0.253 0.750
Ru4 Ru 0.910 0.090 0.250
Pt1 Pt 0.415 0.585 0.750
Pt2 Pt 0.585 0.415 0.250
```


Entry B
A plane-wave DFT calculation with PBE was carried out for a relaxed structure of Ru2Pt.

Values from the calculation:
- N(E_F): 1.4528 states/eV/atom
- Magnetic moment: 0.00 μB per formula unit
- SG: I4/mcm

```
data_Ru2Pt
_chemical_formula_sum 'Ru4 Pt2'
_symmetry_space_group_name_H-M 'P 1'
_symmetry_Int_Tables_number 1
_cell_length_a 4.991
_cell_length_b 4.991
_cell_length_c 4.991
_cell_angle_alpha 105.81
_cell_angle_beta 105.81
_cell_angle_gamma 117.07
loop_
_symmetry_equiv_pos_as_xyz
'x,y,z'
loop_
_atom_site_label
_atom_site_type_symbol
_atom_site_fract_x
_atom_site_fract_y
_atom_site_fract_z
Ru1 Ru 0.132 0.632 0.764
Ru2 Ru 0.368 0.132 0.500
Ru3 Ru 0.632 0.868 0.500
Ru4 Ru 0.868 0.368 0.236
Pt1 Pt 0.250 0.250 0.000
Pt2 Pt 0.750 0.750 0.000
```


entry A wins, 40.5 kJ/mol of atoms ahead of the next structure.


Entry A
A plane-wave DFT calculation with PBE was carried out for a relaxed structure of Ru2Pt.

Values from the calculation:
- N(E_F): 1.5608 states/eV/atom
- Magnetic moment: 0.00 μB per formula unit
- SG: P6_3/mmc

```
data_Ru2Pt
_chemical_formula_sum 'Ru4 Pt2'
_symmetry_space_group_name_H-M 'P 1'
_symmetry_Int_Tables_number 1
_cell_length_a 4.374
_cell_length_b 4.374
_cell_length_c 5.371
_cell_angle_alpha 90.00
_cell_angle_beta 90.00
_cell_angle_gamma 120.00
loop_
_symmetry_equiv_pos_as_xyz
'x,y,z'
loop_
_atom_site_label
_atom_site_type_symbol
_atom_site_fract_x
_atom_site_fract_y
_atom_site_fract_z
Ru1 Ru 0.000 0.000 0.000
Ru2 Ru 0.000 0.000 0.500
Ru3 Ru 0.333 0.667 0.250
Ru4 Ru 0.667 0.333 0.750
Pt1 Pt 0.333 0.667 0.750
Pt2 Pt 0.667 0.333 0.250
```


Entry B
A plane-wave DFT calculation with PBE was carried out for a relaxed structure of Ru2Pt.

Values from the calculation:
- N(E_F): 1.2954 states/eV/atom
- Magnetic moment: 0.00 μB per formula unit
- SG: P6/mmm

```
data_Ru2Pt
_chemical_formula_sum 'Ru2 Pt1'
_symmetry_space_group_name_H-M 'P 1'
_symmetry_Int_Tables_number 1
_cell_length_a 4.363
_cell_length_b 4.363
_cell_length_c 2.696
_cell_angle_alpha 90.00
_cell_angle_beta 90.00
_cell_angle_gamma 120.00
loop_
_symmetry_equiv_pos_as_xyz
'x,y,z'
loop_
_atom_site_label
_atom_site_type_symbol
_atom_site_fract_x
_atom_site_fract_y
_atom_site_fract_z
Ru1 Ru 0.333 0.667 0.000
Ru2 Ru 0.667 0.333 0.000
Pt1 Pt 0.000 0.000 0.500
```


Entry C
A plane-wave DFT calculation with PBE was carried out for a relaxed structure of Ru2Pt.

Values from the calculation:
- N(E_F): 1.1711 states/eV/atom
- Magnetic moment: 0.00 μB per formula unit
- SG: Cm

```
data_Ru2Pt
_chemical_formula_sum 'Ru4 Pt2'
_symmetry_space_group_name_H-M 'P 1'
_symmetry_Int_Tables_number 1
_cell_length_a 5.204
_cell_length_b 5.204
_cell_length_c 6.483
_cell_angle_alpha 103.81
_cell_angle_beta 103.81
_cell_angle_gamma 30.71
loop_
_symmetry_equiv_pos_as_xyz
'x,y,z'
loop_
_atom_site_label
_atom_site_type_symbol
_atom_site_fract_x
_atom_site_fract_y
_atom_site_fract_z
Ru1 Ru 0.000 0.000 0.000
Ru2 Ru 0.054 0.054 0.614
Ru3 Ru 0.392 0.392 0.270
Ru4 Ru 0.719 0.719 0.947
Pt1 Pt 0.336 0.336 0.673
Pt2 Pt 0.664 0.664 0.329
```


entry C wins, 19.4 kJ/mol of atoms ahead of the next structure.


Entry A
A plane-wave DFT calculation with PBE was carried out for a relaxed structure of Ru2Pt.

Values from the calculation:
- N(E_F): 0.9465 states/eV/atom
- Magnetic moment: 0.00 μB per formula unit
- SG: C2/m

```
data_Ru2Pt
_chemical_formula_sum 'Ru4 Pt2'
_symmetry_space_group_name_H-M 'P 1'
_symmetry_Int_Tables_number 1
_cell_length_a 5.217
_cell_length_b 5.217
_cell_length_c 6.478
_cell_angle_alpha 103.78
_cell_angle_beta 103.78
_cell_angle_gamma 30.58
loop_
_symmetry_equiv_pos_as_xyz
'x,y,z'
loop_
_atom_site_label
_atom_site_type_symbol
_atom_site_fract_x
_atom_site_fract_y
_atom_site_fract_z
Ru1 Ru 0.147 0.147 0.032
Ru2 Ru 0.202 0.202 0.643
Ru3 Ru 0.798 0.798 0.357
Ru4 Ru 0.853 0.853 0.968
Pt1 Pt 0.475 0.475 0.699
Pt2 Pt 0.525 0.525 0.301
```


Entry B
A plane-wave DFT calculation with PBE was carried out for a relaxed structure of Ru2Pt.

Values from the calculation:
- N(E_F): 1.6119 states/eV/atom
- Magnetic moment: 0.17 μB per formula unit
- SG: P6_3/mmc

```
data_Ru2Pt
_chemical_formula_sum 'Ru8 Pt4'
_symmetry_space_group_name_H-M 'P 1'
_symmetry_Int_Tables_number 1
_cell_length_a 5.028
_cell_length_b 5.028
_cell_length_c 8.363
_cell_angle_alpha 90.00
_cell_angle_beta 90.00
_cell_angle_gamma 120.00
loop_
_symmetry_equiv_pos_as_xyz
'x,y,z'
loop_
_atom_site_label
_atom_site_type_symbol
_atom_site_fract_x
_atom_site_fract_y
_atom_site_fract_z
Ru1 Ru 0.000 0.000 0.000
Ru2 Ru 0.000 0.000 0.500
Ru3 Ru 0.172 0.344 0.250
Ru4 Ru 0.172 0.828 0.250
Ru5 Ru 0.344 0.172 0.750
Ru6 Ru 0.656 0.828 0.250
Ru7 Ru 0.828 0.172 0.750
Ru8 Ru 0.828 0.656 0.750
Pt1 Pt 0.333 0.667 0.580
Pt2 Pt 0.333 0.667 0.920
Pt3 Pt 0.667 0.333 0.080
Pt4 Pt 0.667 0.333 0.420
```


Entry C
A plane-wave DFT calculation with PBE was carried out for a relaxed structure of Ru2Pt.

Values from the calculation:
- N(E_F): 1.2031 states/eV/atom
- Magnetic moment: 0.00 μB per formula unit
- SG: P-3m1

```
data_Ru2Pt
_chemical_formula_sum 'Ru2 Pt1'
_symmetry_space_group_name_H-M 'P 1'
_symmetry_Int_Tables_number 1
_cell_length_a 3.557
_cell_length_b 3.557
_cell_length_c 4.678
_cell_angle_alpha 90.00
_cell_angle_beta 90.00
_cell_angle_gamma 120.00
loop_
_symmetry_equiv_pos_as_xyz
'x,y,z'
loop_
_atom_site_label
_atom_site_type_symbol
_atom_site_fract_x
_atom_site_fract_y
_atom_site_fract_z
Ru1 Ru 0.333 0.667 0.372
Ru2 Ru 0.667 0.333 0.628
Pt1 Pt 0.000 0.000 0.000
```


entry A wins, 38.8 kJ/mol of atoms ahead of the next structure.